Entry 1:
Zr3Al2Cu3, single point on PBEsol structure, DFT SCAN; SG = P-62m; energy of formation from the pure elements = -351 meV per atom; total energy = -156.0 eV per cell; ρ = 6.43 g cm⁻³
1.0
4.213 0.000 0.000
0.000 6.058 0.000
0.000 -3.029 5.246
Zr Al Cu
3 2 3
direct
0.500 0.642 0.642
0.500 0.000 0.358
0.500 0.358 0.000
0.000 0.667 0.333
0.000 0.333 0.667
0.000 0.230 0.230
0.000 0.000 0.770
0.000 0.770 0.000


Entry 2:
LiYB2, single point on PBEsol structure, DFT SCAN; SG = I4_1/amd; energy of formation from the pure elements = 229 meV per atom; total energy = -88.4 eV per cell; ρ = 3.93 g cm⁻³
1.0
3.699 0.000 0.000
0.000 3.699 0.000
-1.849 -1.849 7.254
Y B Li
2 4 2
direct
0.000 0.000 0.000
0.250 0.750 0.500
0.625 0.375 0.750
0.125 0.375 0.750
0.625 0.875 0.250
0.625 0.375 0.250
0.500 0.500 0.000
0.750 0.250 0.500


Entry 3:
LaCo2Os, single point on PBEsol structure, DFT SCAN; SG = R3m; energy of formation from the pure elements = -50 meV per atom; total energy = -149.8 eV per cell; ρ = 10.08 g cm⁻³
1.0
4.130 0.000 0.000
2.065 3.577 0.000
2.065 1.192 4.985
Co Os La
2 1 1
direct
0.012 0.012 0.964
0.325 0.325 0.025
0.697 0.697 0.909
0.510 0.510 0.471


Entry 4:
Sc4Ta, single point on PBEsol structure, DFT SCAN; SG = I4/mmm; energy of formation from the pure elements = 663 meV per atom; total energy = -120.2 eV per cell; ρ = 5.35 g cm⁻³
1.0
3.843 0.000 0.000
0.000 3.843 0.000
-1.922 -1.922 7.584
Sc Ta
4 1
direct
0.750 0.250 0.500
0.411 0.411 0.823
0.589 0.589 0.177
0.250 0.750 0.500
0.000 0.000 0.000


Q: Look up the energy of formation from the pure elements of the fourth one.
A: 663 meV per atom


Q: What is the formula in the second record?
A: LiYB2